Density functional theory data (PBE) for crystalline Na2LiRhCl6 at its relaxed geometry.

Properties
Formation energy (no corrections) = -1.320 eV/atom
Density = 2.49 Mg/m³
Calculated volume = 24.56 A^3/atom
Space group = No. 146

Lattice parameters (Å, degrees): 6.5099 6.5103 7.6747 64.91 64.90 60.00
Element x y z (fractional)
Cl 0.7057 0.1160 0.7487
Cl 0.1160 0.4296 0.7486
Cl 0.9693 0.5714 0.1613
Cl 0.5713 0.2981 0.1613
Cl 0.2981 0.9693 0.1613
Cl 0.4296 0.7057 0.7486
Rh 0.3469 0.3469 0.9592
Na 0.0141 0.0141 0.9578
Na 0.5204 0.5203 0.4388
Li 0.6902 0.6901 0.9296

Density functional theory data (PBE) for crystalline Na2LiRuCl6 at its relaxed geometry.

Properties
Formation energy (no corrections) = -1.238 eV/atom
Density = 2.71 Mg/m³
Calculated volume = 22.45 A^3/atom
Space group = No. 146

Lattice parameters (Å, degrees): 6.7215 6.7209 6.9283 60.98 60.98 60.01
Element x y z (fractional)
Cl 0.1008 0.4518 0.7743
Cl 0.5636 0.1950 0.2557
Cl 0.4518 0.6733 0.7742
Cl 0.1949 0.9858 0.2557
Cl 0.6732 0.1008 0.7741
Cl 0.9859 0.5636 0.2557
Na 0.5351 0.5352 0.3946
Na 0.0233 0.0232 0.9298
Ru 0.3263 0.3263 0.0212
Li 0.8068 0.8066 0.5799

Density functional theory data (PBE) for crystalline NaLi2RuCl8 at its relaxed geometry.

Properties
Formation energy (no corrections) = -1.064 eV/atom
Density = 2.19 Mg/m³
Calculated volume = 26.64 A^3/atom
Space group = No. 2

Lattice parameters (Å, degrees): 6.3279 6.7721 8.2641 67.32 92.48 101.75
Element x y z (fractional)
Na 0.0000 0.0000 0.5000
Cl 0.1073 0.7758 0.2745
Cl 0.1396 0.8095 0.8674
Cl 0.3836 0.2769 0.4382
Cl 0.8604 0.1905 0.1326
Cl 0.6164 0.7231 0.5618
Cl 0.3305 0.2436 0.9570
Cl 0.6695 0.7564 0.0430
Cl 0.8927 0.2242 0.7255
Li 0.5339 0.3424 0.6783
Li 0.4661 0.6576 0.3217
Ru 0.0000 0.0000 0.0000

Density functional theory data (PBE) for crystalline NaLiSCl2 at its relaxed geometry.

Properties
Formation energy (no corrections) = -0.743 eV/atom
Density = 1.91 Mg/m³
Calculated volume = 23.12 A^3/atom
Space group = No. 123

Lattice parameters (Å, degrees): 4.9981 4.9981 4.6276 90.00 90.00 90.00
Element x y z (fractional)
Cl 0.5000 0.0000 0.0000
Cl 0.0000 0.5000 0.0000
Na 0.5000 0.5000 0.5000
S 0.0000 0.0000 0.5000
Li 0.0000 0.0000 0.0000